Material: TbPuRuPb
Method: DFT, GGA-PBE
State: relaxed

Calculated values
Calculated volume (Å³ per cell): 96.93
Total moment (μB per cell): 4.91
ΔE_f (eV/atom): -0.285
Density of states at the Fermi level (states/eV/f.u.): 8.5

Geometry as CIF:
```
data_TbPuRuPb
_chemical_formula_sum 'Tb1 Pu1 Ru1 Pb1'
_symmetry_space_group_name_H-M 'P 4 m m'
_symmetry_Int_Tables_number 99
_symmetry_space_group_name_Hall 'P 4 -2'
_cell_length_a 3.342
_cell_length_b 3.342
_cell_length_c 8.677
_cell_angle_alpha 90.00
_cell_angle_beta 90.00
_cell_angle_gamma 90.00
loop_
_atom_site_label
_atom_site_fract_x
_atom_site_fract_y
_atom_site_fract_z
_atom_site_occupancy
Tb1 0.000 0.000 0.000 1
Pu1 0.000 0.000 0.601 1
Ru1 0.500 0.500 0.798 1
Pb1 0.500 0.500 0.300 1
```


Material: LaPm12Si6
Method: DFT, GGA-PBE
State: relaxed

Calculated values
Calculated volume (Å³ per cell): 1723.62
Total moment (μB per cell): 0.01
E_form (uncorrected) (eV/atom): -0.34
Density of states at the Fermi level (states/eV/f.u.): 23.9

Geometry as CIF:
```
data_LaPm12Si6
_chemical_formula_sum 'La3 Pm36 Si18'
_symmetry_space_group_name_H-M 'R -3 m'
_symmetry_Int_Tables_number 166
_symmetry_space_group_name_Hall '-R 3 2"'
_cell_length_a 13.4929
_cell_length_b 13.4929
_cell_length_c 10.9321
_cell_angle_alpha 90.00
_cell_angle_beta 90.00
_cell_angle_gamma 120.00
loop_
_atom_site_label
_atom_site_fract_x
_atom_site_fract_y
_atom_site_fract_z
_atom_site_occupancy
La1 0.0000 0.0000 0.0000 1
Pm1 0.0000 0.3782 0.5000 1
Pm2 0.0890 0.1781 0.3557 1
Si1 0.0330 0.5165 0.2676 1
```